Entry 1:
Here is a PBEsol-optimized structure of MgScPCl2 from Alexandria via LeMat-Bulk. Energies are from meta-GGA SCAN.

Values from the calculation:
ΔE_f (raw): -1.076 eV per atom
VASP energy: -10.189 eV/atom
magnetization: 0.000 μB/atom

abc: 4.7534 4.7534 5.2947
angles: 90.00 90.00 90.00
Atoms (fractional coordinates):
Mg 0.0000 0.0000 0.0000
Sc 0.5000 0.5000 0.5000
P 0.5000 0.5000 0.0000
Cl 0.0000 0.5000 0.5000
Cl 0.5000 0.0000 0.5000



Entry 2:
Here is a PBEsol-optimized structure of KNaSnF6 from Alexandria via LeMat-Bulk. Energies are from meta-GGA SCAN.

Values from the calculation:
ΔE_f (raw): -2.879 eV per atom
VASP energy: -10.624 eV/atom
magnetization: 0.020 μB/atom

abc: 11.8545 5.9707 8.1385
angles: 90.00 90.00 90.00
Atoms (fractional coordinates):
K 0.0449 0.0373 0.0000
K 0.4551 0.5373 0.5000
K 0.5449 0.4627 0.0000
K 0.9551 0.9627 0.5000
Na 0.1486 0.5555 0.2456
Na 0.3514 0.0555 0.7456
Na 0.6486 0.9445 0.2456
Na 0.8514 0.4445 0.7456
Sn 0.1345 0.5510 0.7431
Sn 0.3655 0.0510 0.2431
Sn 0.6345 0.9490 0.7431
Sn 0.8655 0.4490 0.2431
F 0.0111 0.2862 0.2823
F 0.0401 0.2794 0.7014
F 0.1236 0.6546 0.5122
F 0.1410 0.4497 0.9756
F 0.2083 0.8350 0.8089
F 0.2208 0.9001 0.1939
F 0.2792 0.4001 0.6939
F 0.2917 0.3350 0.3089
F 0.3590 0.9497 0.4756
F 0.3764 0.1546 0.0122
F 0.4599 0.7794 0.2014
F 0.4889 0.7862 0.7823
F 0.5111 0.2138 0.2823
F 0.5401 0.2206 0.7014
F 0.6236 0.8454 0.5122
F 0.6410 0.0503 0.9756
F 0.7083 0.6650 0.8089
F 0.7208 0.5999 0.1939
F 0.7792 0.0999 0.6939
F 0.7917 0.1650 0.3089
F 0.8590 0.5503 0.4756
F 0.8764 0.3454 0.0122
F 0.9599 0.7206 0.2014
F 0.9889 0.7138 0.7823



Entry 3:
Here is a PBEsol-optimized structure of CdNiPb2 from Alexandria via LeMat-Bulk. Energies are from meta-GGA SCAN.

Values from the calculation:
VASP energy: -49.399 eV/atom
energy relative to the elements: 0.1385 eV/atom
magnetization: 0.000 μB/atom

abc: 3.3063 6.7675 6.7675
angles: 36.08 90.00 90.00
Atoms (fractional coordinates):
Cd 0.0000 0.0000 0.0000
Ni 0.5000 0.8361 0.8361
Pb 0.0000 0.3094 0.3094
Pb 0.5000 0.6264 0.6264



Entry 4:
Here is a PBEsol-optimized structure of ScCd2Te from Alexandria via LeMat-Bulk. Energies are from meta-GGA SCAN.

Values from the calculation:
ΔE_f (raw): -0.030 eV per atom
VASP energy: -28.109 eV/atom
magnetization: 0.000 μB/atom

abc: 9.9114 9.9114 9.9114
angles: 19.56 19.56 19.56
Atoms (fractional coordinates):
Sc 0.0000 0.0000 0.0000
Cd 0.2530 0.2530 0.2530
Cd 0.7470 0.7470 0.7470
Te 0.5000 0.5000 0.5000



Entry 5:
Here is a PBEsol-optimized structure of HfInGa3 from Alexandria via LeMat-Bulk. Energies are from meta-GGA SCAN.

Values from the calculation:
VASP energy: -28.025 eV/atom
energy relative to the elements: 0.9947 eV/atom
magnetization: 0.000 μB/atom

abc: 4.9705 4.9705 4.9705
angles: 90.00 90.00 90.00
Atoms (fractional coordinates):
Hf 0.0000 0.0000 0.0000
In 0.5000 0.5000 0.5000
Ga 0.0000 0.5000 0.5000
Ga 0.5000 0.0000 0.5000
Ga 0.5000 0.5000 0.0000



Entry 6:
Here is a PBEsol-optimized structure of ReNi2Se from Alexandria via LeMat-Bulk. Energies are from meta-GGA SCAN.

Values from the calculation:
ΔE_f (raw): 0.505 eV per atom
VASP energy: -30.376 eV/atom
magnetization: 0.000 μB/atom

abc: 4.2660 2.8385 4.4139
angles: 90.00 106.12 90.00
Atoms (fractional coordinates):
Re 0.0000 0.0000 0.0000
Ni 0.0000 0.5000 0.5000
Ni 0.5000 0.0000 0.5000
Se 0.5000 0.5000 0.0000



Entry 7:
Here is a PBEsol-optimized structure of ZrCl3 from Alexandria via LeMat-Bulk. Energies are from meta-GGA SCAN.

Values from the calculation:
ΔE_f (raw): -1.905 eV per atom
VASP energy: -15.563 eV/atom
magnetization: 0.000 μB/atom

abc: 6.1702 6.1702 6.1702
angles: 149.98 69.73 118.72
Atoms (fractional coordinates):
Zr 0.0000 0.0000 0.0000
Cl 0.3247 0.6600 0.6647
Cl 0.6898 0.1898 0.5000
Cl 0.9953 0.6600 0.3353



Entry 8:
Here is a PBEsol-optimized structure of YWSe2 from Alexandria via LeMat-Bulk. Energies are from meta-GGA SCAN.

Values from the calculation:
ΔE_f (raw): -0.466 eV per atom
VASP energy: -34.888 eV/atom
magnetization: 0.000 μB/atom

abc: 5.0005 5.0005 5.0127
angles: 103.30 103.30 38.79
Atoms (fractional coordinates):
Y 0.0000 0.0000 0.0000
W 0.7584 0.7584 0.4148
Se 0.2538 0.2538 0.8170
Se 0.4756 0.4756 0.4767



Copy entry 5 word for word.
Here is a PBEsol-optimized structure of HfInGa3 from Alexandria via LeMat-Bulk. Energies are from meta-GGA SCAN.

Values from the calculation:
VASP energy: -28.025 eV/atom
energy relative to the elements: 0.9947 eV/atom
magnetization: 0.000 μB/atom

abc: 4.9705 4.9705 4.9705
angles: 90.00 90.00 90.00
Atoms (fractional coordinates):
Hf 0.0000 0.0000 0.0000
In 0.5000 0.5000 0.5000
Ga 0.0000 0.5000 0.5000
Ga 0.5000 0.0000 0.5000
Ga 0.5000 0.5000 0.0000



Which formula does entry 1 have?
MgScPCl2



Among the records above, which one has the highest magnetization?
KNaSnF6



Among the records above, which one has the highest magnetization?
KNaSnF6